The following is a DFT calculation (PBE with a Hubbard U) of crystalline CrW3O12 at its relaxed geometry.

a b c (Å): 5.3337 5.4384 7.5555
angles (deg): 90.80 90.04 89.96
Element x y z (fractional)
1 W 0.0072 0.0596 0.5027
2 O 0.5671 0.5069 0.2591
3 O 0.7119 0.7754 0.5275
4 Cr 0.5020 0.5630 0.4701
5 W 0.0009 0.9921 0.0038
6 O 0.2854 0.2374 0.4685
7 O 0.7751 0.2927 0.5346
8 O 0.7610 0.7296 0.9712
9 O 0.2633 0.7568 0.0352
10 O 0.4317 0.5027 0.7386
11 W 0.4939 0.4932 0.9698
12 O 0.9362 0.9983 0.2539
13 O 0.2352 0.2592 0.0304
14 O 0.7333 0.2310 0.9695
15 O 0.2377 0.7244 0.4605
16 O 0.0581 0.9873 0.7498

The symmetry is No. 1. The value obtained for the calculated total energy is -7.22 eV per atom.